# 1
Here is crystalline Hf2In3Pd4 at its relaxed geometry from Alexandria. Energies are from GGA-PBE.

```
Hf2In3Pd4
1.0
-4.508 -0.152 -1.313
-3.052 -2.653 2.381
-1.759 6.764 5.252
In Hf Pd
3 2 4
Direct
0.333 0.334 0.422
0.667 0.666 0.578
0.000 0.000 0.000
0.666 0.667 0.213
0.334 0.333 0.787
0.667 0.666 0.896
0.999 0.001 0.333
0.333 0.334 0.104
0.001 0.999 0.667
```

Summary:
The total moment comes out at 0.0 μB/f.u. As for the formation energy: -0.532 eV per atom. As for the crystal system: monoclinic. Its space group is C2/m (12).

***

# 2
Here is crystalline Tb4Er2Tl3H2 at its relaxed geometry from Alexandria. Energies are from GGA-PBE.

```
Tb4Er2Tl3H2
1.0
-2.040 4.011 1.466
-4.205 -2.170 0.088
5.060 -4.202 10.898
Tl Tb Er H
3 4 2 2
Direct
0.175 0.175 0.351
0.000 0.000 0.000
0.825 0.825 0.649
0.415 0.915 0.829
0.585 0.085 0.171
0.085 0.585 0.171
0.915 0.415 0.829
0.698 0.698 0.397
0.302 0.302 0.603
0.604 0.604 0.208
0.396 0.396 0.792
```

Summary:
The total moment comes out at 0.0 μB/f.u. For the energy, the calculation gives -44.37 eV for the cell shown. As for the crystal system: tetragonal. Its space group is I4/mmm (139).

***

# 3
Here is crystalline NbOsAu2C at its relaxed geometry from Alexandria. Energies are from GGA-PBE.

```
NbOsAu2C
1.0
-0.512 -3.213 2.717
1.996 -2.631 -2.735
3.716 0.938 1.810
Au Os C Nb
2 1 1 1
Direct
0.500 0.000 0.000
0.000 0.000 0.500
0.500 0.500 0.500
0.000 0.000 0.000
0.000 0.500 0.000
```

Summary:
The total moment comes out at 0.0 μB/f.u. As for the formation energy: 0.842 eV per atom. As for the crystal system: tetragonal. Its space group is P4/mmm (123).

***

# 4
Here is crystalline MnCo2H at its relaxed geometry from Alexandria. Energies are from GGA-PBE.

```
MnCo2H
1.0
0.000 2.667 2.667
2.667 0.000 2.667
2.667 2.667 0.000
Co Mn H
2 1 1
Direct
0.750 0.750 0.750
0.250 0.250 0.250
0.500 0.500 0.500
0.000 0.000 0.000
```

Summary:
The total moment comes out at 2.1 μB/f.u. Its energy relative to the lowest polymorph listed for this composition is 513 meV per atom. As for the crystal system: cubic. Its space group is Fm-3m (225).

***

# 5
Here is crystalline VPRh2N at its relaxed geometry from Alexandria. Energies are from GGA-PBE.

```
VPRh2N
1.0
4.284 0.000 0.000
0.000 4.284 0.000
0.000 0.000 4.423
Rh V N P
2 1 1 1
Direct
0.000 0.500 0.000
0.500 0.000 0.000
0.000 0.000 0.500
0.500 0.500 0.500
0.000 0.000 0.000
```

Summary:
The total moment comes out at 0.9 μB/f.u. As for the crystal system: tetragonal. The uncorrected formation energy comes out at 1.24 eV per atom. Its space group is P4/mmm (123).

***

# 6
Here is crystalline BaFe2Re at its relaxed geometry from Alexandria. Energies are from GGA-PBE.

```
BaFe2Re
1.0
-2.984 4.959 -0.105
-3.613 0.235 -4.516
1.524 -2.437 5.024
Re Ba Fe
1 1 2
Direct
0.250 0.750 0.500
0.750 0.250 0.500
0.445 0.445 0.000
0.055 0.055 0.000
```

Summary:
The total moment comes out at 4.0 μB/f.u. Its energy relative to the lowest polymorph listed for this composition is 736 meV per atom. As for the formation energy: 1.208 eV per atom. As for the crystal system: orthorhombic. Its space group is Immm (71).

***

# 7
Here is crystalline HgAs2Pb at its relaxed geometry from Alexandria. Energies are from GGA-PBE.

```
HgAs2Pb
1.0
4.269 0.000 0.000
0.000 4.402 0.000
0.000 0.000 5.187
Pb As Hg
1 2 1
Direct
0.000 0.500 0.500
0.500 0.500 0.000
0.000 0.000 0.000
0.500 0.000 0.500
```

Summary:
The total moment comes out at 0.0 μB/f.u. Its energy relative to the lowest polymorph listed for this composition is 244 meV per atom. As for the formation energy: 0.295 eV per atom. As for the crystal system: orthorhombic. Its space group is Pmmm (47).

***

# 8
Here is crystalline BaTe2Se at its relaxed geometry from Alexandria. Energies are from GGA-PBE.

```
BaTe2Se
1.0
-3.455 1.819 -2.435
-3.038 -2.174 2.687
-0.139 5.338 4.185
Se Ba Te
1 1 2
Direct
0.000 0.000 0.500
0.500 0.500 0.500
0.000 0.000 0.000
0.500 0.500 0.000
```

Summary:
The total moment comes out at 0.0 μB/f.u. As for the crystal system: monoclinic. The uncorrected formation energy comes out at -0.88 eV per atom. Its space group is P2/m (10).

***

# 9
Here is crystalline Zr2MoBr at its relaxed geometry from Alexandria. Energies are from GGA-PBE.

```
Zr2MoBr
1.0
0.000 3.422 3.422
3.422 0.000 3.422
3.422 3.422 0.000
Br Zr Mo
1 2 1
Direct
0.000 0.000 0.000
0.750 0.750 0.750
0.250 0.250 0.250
0.500 0.500 0.500
```

Summary:
The total moment comes out at 0.0 μB/f.u. Its energy relative to the lowest polymorph listed for this composition is 664 meV per atom. As for the crystal system: cubic. The uncorrected formation energy comes out at 0.33 eV per atom. Its space group is Fm-3m (225).

***

# 10
Here is crystalline BaIrOs at its relaxed geometry from Alexandria. Energies are from GGA-PBE.

```
BaIrOs
1.0
4.732 0.000 0.000
2.366 4.098 0.000
2.366 1.366 3.864
Ba Ir Os
1 1 1
Direct
0.750 0.750 0.750
0.000 0.000 0.000
0.500 0.500 0.500
```

Summary:
The total moment comes out at 2.0 μB/f.u. Its energy relative to the lowest polymorph listed for this composition is 2169 meV per atom. As for the formation energy: 2.331 eV per atom. As for the crystal system: cubic. Its space group is F-43m (216).

***

# 11
Here is crystalline Dy8Er3Th2 at its relaxed geometry from Alexandria. Energies are from GGA-PBE.

```
Dy8Er3Th2
1.0
12.769 -1.196 1.765
-7.410 4.161 -1.741
2.173 -1.521 19.401
Dy Th Er
16 4 6
Direct
0.740 0.030 0.114
0.260 0.970 0.886
0.157 0.313 0.178
0.078 0.787 0.062
0.127 0.807 0.463
0.922 0.213 0.938
0.884 0.655 0.239
0.642 0.052 0.315
0.618 0.571 0.613
0.358 0.948 0.685
0.116 0.345 0.761
0.873 0.193 0.537
0.382 0.429 0.387
0.843 0.687 0.822
0.243 0.375 0.576
0.757 0.625 0.424
0.986 0.753 0.647
0.570 0.052 0.914
0.014 0.247 0.353
0.430 0.948 0.086
0.743 0.155 0.726
0.000 0.000 0.000
0.465 0.499 0.790
0.500 0.000 0.500
0.257 0.845 0.274
0.535 0.501 0.210
```

Summary:
The total moment comes out at 0.0 μB/f.u. Its energy relative to the lowest polymorph listed for this composition is 0 meV per atom. As for the formation energy: 0.113 eV per atom. As for the crystal system: triclinic. Its space group is P-1 (2).

***

# 12
Here is crystalline BaBr2 at its relaxed geometry from Alexandria. Energies are from GGA-PBE.

```
BaBr2
1.0
5.067 0.000 0.000
0.000 8.397 0.000
0.000 0.000 10.085
Ba Br
4 8
Direct
0.750 0.754 0.112
0.750 0.254 0.388
0.250 0.746 0.612
0.250 0.246 0.888
0.250 0.642 0.926
0.250 0.523 0.334
0.250 0.142 0.574
0.750 0.858 0.426
0.250 0.023 0.166
0.750 0.477 0.666
0.750 0.977 0.834
0.750 0.358 0.074
```

Summary:
The total moment comes out at 0.0 μB/f.u. As for the crystal system: orthorhombic. The uncorrected formation energy comes out at -2.20 eV per atom. Its space group is Pnma (62).

***

# 13
Here is crystalline Np2MnAl at its relaxed geometry from Alexandria. Energies are from GGA-PBE.

```
Np2MnAl
1.0
2.854 0.000 0.000
1.427 2.471 0.000
1.427 0.824 10.414
Mn Np Al
1 2 1
Direct
0.500 0.500 0.500
0.097 0.097 0.710
0.903 0.903 0.290
0.000 0.000 0.000
```

Summary:
The total moment comes out at 3.9 μB/f.u. As for the formation energy: 0.481 eV per atom. As for the crystal system: trigonal. Its space group is R-3m (166).

***

# 14
Here is crystalline KNaLi2Cd at its relaxed geometry from Alexandria. Energies are from GGA-PBE.

```
KNaLi2Cd
1.0
-2.024 -4.966 1.077
5.081 -1.981 0.413
0.017 1.250 5.793
Na Cd K Li
1 1 1 2
Direct
0.000 0.000 0.500
0.000 0.000 0.000
0.500 0.500 0.500
0.500 0.000 0.000
0.000 0.500 0.000
```

Summary:
The total moment comes out at 0.0 μB/f.u. Its energy relative to the lowest polymorph listed for this composition is 0 meV per atom. As for the formation energy: 0.063 eV per atom. As for the crystal system: tetragonal. Its space group is P4/mmm (123).

***

# 15
Here is crystalline HoScAg6 at its relaxed geometry from Alexandria. Energies are from GGA-PBE.

```
HoScAg6
1.0
4.156 0.000 1.135
1.933 4.663 1.099
0.035 -0.225 8.052
Ag Sc Ho
6 1 1
Direct
0.502 0.240 0.755
0.753 0.127 0.367
0.498 0.760 0.245
0.748 0.622 0.881
0.252 0.378 0.119
0.247 0.873 0.633
0.000 0.000 0.000
0.000 0.500 0.500
```

Summary:
The total moment comes out at 0.0 μB/f.u. As for the formation energy: -0.197 eV per atom. As for the crystal system: monoclinic. Its space group is C2/m (12).

***

# 16
Here is crystalline Cd2TeAs2 at its relaxed geometry from Alexandria. Energies are from GGA-PBE.

```
Cd2TeAs2
1.0
-3.210 4.359 -7.265
0.139 -7.741 -4.706
-2.719 -0.571 0.859
Te As Cd
2 4 4
Direct
0.000 0.000 0.000
0.500 0.500 0.000
0.625 0.875 0.500
0.125 0.625 0.500
0.375 0.125 0.500
0.875 0.375 0.500
0.169 0.331 0.000
0.831 0.669 0.000
0.669 0.169 0.000
0.331 0.831 0.000
```

Summary:
The total moment comes out at 0.0 μB/f.u. Its energy relative to the lowest polymorph listed for this composition is 138 meV per atom. As for the crystal system: tetragonal. The uncorrected formation energy comes out at 0.20 eV per atom. Its space group is P4/mbm (127).

***

# 17
Here is crystalline LiVHg at its relaxed geometry from Alexandria. Energies are from GGA-PBE.

```
LiVHg
1.0
0.741 -2.037 3.750
-3.161 -0.338 2.942
-1.835 -3.846 0.775
V Hg Li
1 1 1
Direct
0.750 0.750 0.750
0.000 0.000 0.000
0.250 0.250 0.250
```

Summary:
The total moment comes out at 0.0 μB/f.u. Its energy relative to the lowest polymorph listed for this composition is 632 meV per atom. As for the formation energy: 0.665 eV per atom. As for the crystal system: cubic. Its space group is F-43m (216).

***

# 18
Here is crystalline SmHo2Hg at its relaxed geometry from Alexandria. Energies are from GGA-PBE.

```
SmHo2Hg
1.0
-1.782 -0.757 -3.051
-3.446 -1.080 0.140
-4.922 9.453 -1.611
Ho Hg Sm
2 1 1
Direct
0.258 0.258 0.226
0.742 0.742 0.774
0.000 0.000 0.000
0.500 0.500 0.500
```

Summary:
The total moment comes out at 0.0 μB/f.u. Its energy relative to the lowest polymorph listed for this composition is 64 meV per atom. As for the formation energy: -0.170 eV per atom. As for the crystal system: trigonal. Its space group is R-3m (166).

***

# 19
Here is crystalline YNi7B5 at its relaxed geometry from Alexandria. Energies are from GGA-PBE.

```
YNi7B5
1.0
-0.980 4.243 0.806
-4.290 0.594 3.824
3.152 2.222 4.302
Ni B Y
7 5 1
Direct
0.965 0.688 0.381
0.537 0.753 0.173
0.267 0.233 0.233
0.537 0.173 0.753
0.649 0.351 0.351
0.339 0.661 0.661
0.965 0.381 0.688
0.051 0.498 0.994
0.732 0.768 0.768
0.458 0.498 0.994
0.051 0.994 0.498
0.458 0.994 0.498
0.992 0.008 0.008
```

Summary:
The total moment comes out at 0.0 μB/f.u. As for the formation energy: -0.112 eV per atom. As for the crystal system: orthorhombic. Its space group is Imm2 (44).

***

# 20
Here is crystalline Th4POs2S at its relaxed geometry from Alexandria. Energies are from GGA-PBE.

```
Th4POs2S
1.0
4.089 0.000 0.000
0.000 7.088 0.137
0.000 -2.473 6.993
P Os Th S
1 2 4 1
Direct
0.500 0.500 0.000
0.500 0.000 0.500
0.000 0.500 0.500
0.500 0.741 0.729
0.500 0.259 0.271
0.000 0.754 0.269
0.000 0.246 0.731
0.000 0.000 0.000
```

Summary:
The total moment comes out at 0.0 μB/f.u. As for the crystal system: monoclinic. The uncorrected formation energy comes out at -0.93 eV per atom. Its space group is P2/m (10).

***

# 21
Here is crystalline AgPRh2 at its relaxed geometry from Alexandria. Energies are from GGA-PBE.

```
AgPRh2
1.0
-2.945 -5.766 -2.260
2.540 -3.407 5.382
-2.427 -4.006 2.978
Rh P Ag
4 2 2
Direct
0.375 0.446 0.750
0.875 0.804 0.750
0.554 0.125 0.250
0.196 0.625 0.250
0.500 0.500 0.000
0.250 0.750 0.500
0.750 0.250 0.500
0.000 0.000 0.000
```

Summary:
The total moment comes out at 0.0 μB/f.u. As for the formation energy: -0.185 eV per atom. As for the crystal system: tetragonal. Its space group is I-42d (122).